[1]
Computed, not measured: crystalline TcMo3H at its relaxed geometry at the PBE level of DFT.

Calculated values
Calculated density ... 9.95 g/cm3
E above lowest polymorph ... 0.00 eV/f.u.

abc: 4.0116 4.0116 4.0116
angles: 90.00 90.00 90.00
Positions (direct):
Mo  0.0000  0.5000  0.0000
Mo  0.5000  0.0000  0.0000
Mo  0.0000  0.0000  0.5000
Tc  0.5000  0.5000  0.5000
H  0.0000  0.0000  0.0000



[2]
Computed, not measured: crystalline Tc3MoH4 at its relaxed geometry at the PBE level of DFT.

Calculated values
Calculated density ... 9.83 g/cm3

abc: 4.0528 4.0528 4.0528
angles: 90.00 90.00 90.00
Positions (direct):
Tc  0.0000  0.5000  0.5000
Tc  0.5000  0.5000  0.0000
Tc  0.5000  0.0000  0.5000
H  0.5000  0.0000  0.0000
H  0.0000  0.0000  0.5000
H  0.5000  0.5000  0.5000
H  0.0000  0.5000  0.0000
Mo  0.0000  0.0000  0.0000



[3]
Computed, not measured: crystalline TcMo3H4 at its relaxed geometry at the PBE level of DFT.

Calculated values
Calculated density ... 9.35 g/cm3

abc: 4.1056 4.1056 4.1056
angles: 90.00 90.00 90.00
Positions (direct):
Tc  0.0000  0.0000  0.0000
Mo  0.5000  0.5000  0.0000
Mo  0.0000  0.5000  0.5000
Mo  0.5000  0.0000  0.5000
H  0.0000  0.0000  0.5000
H  0.0000  0.5000  0.0000
H  0.5000  0.5000  0.5000
H  0.5000  0.0000  0.0000



[4]
Computed, not measured: crystalline TcMoH at its relaxed geometry at the PBE level of DFT.

Calculated values
Calculated density ... 8.77 g/cm3
E above lowest polymorph ... 1.23 eV/f.u.

abc: 3.0595 3.0595 4.4964
angles: 109.89 109.89 90.00
Positions (direct):
H  0.2677  0.2677  0.5355
Tc  0.0235  0.0235  0.0471
Mo  0.7087  0.7087  0.4175



[5]
Computed, not measured: crystalline VTc2MoH at its relaxed geometry at the PBE level of DFT.

Calculated values
Calculated density ... 9.41 g/cm3

abc: 3.9838 3.9838 3.8256
angles: 90.00 90.00 90.00
Positions (direct):
Tc  0.5000  0.0000  0.0000
Tc  0.0000  0.5000  0.0000
V  0.0000  0.0000  0.5000
Mo  0.5000  0.5000  0.5000
H  0.0000  0.0000  0.0000



[6]
Computed, not measured: crystalline VTcMo2H at its relaxed geometry at the PBE level of DFT.

Calculated values
Calculated density ... 9.15 g/cm3

abc: 4.3283 4.3283 3.3124
angles: 90.00 90.00 90.00
Positions (direct):
Tc  0.5000  0.5000  0.5000
Mo  0.0000  0.5000  0.0000
Mo  0.5000  0.0000  0.0000
H  0.0000  0.0000  0.0000
V  0.0000  0.0000  0.5000



no.,electronic total energy (eV per cell)
1,-45.4
2,-55.6
3,-56.3
4,-23.2
5,-43.8
6,-44.2